No. 1
The following is a DFT calculation (PBE-GGA) of a geometry-optimized V3CrSe structure. Values from VASP.

Values from the calculation:
- VASP energy: -36.7 eV/cell
- ΔE_f (raw): 750 meV per atom
- Total magnetic moment: 0.085 μB/cell

```
&SYSTEM
  ibrav = 0, nat = 5, ntyp = 3
/
ATOMIC_SPECIES
Cr 52.00 Cr.upf
Se 78.96 Se.upf
V 50.94 V.upf
ATOMIC_POSITIONS crystal
Cr 0.500 0.500 0.500
Se 0.000 0.000 0.000
V 0.000 0.500 0.000
V 0.000 0.000 0.500
V 0.500 0.000 0.000
CELL_PARAMETERS angstrom
4.500 0.000 0.000
0.000 4.500 0.000
0.000 0.000 4.500
```

No. 2
The following is a DFT calculation (PBE-GGA) of a geometry-optimized VCrSe6 structure. Values from VASP.

Values from the calculation:
- VASP energy: -42.0 eV/cell
- ΔE_f (raw): -290 meV per atom
- Total magnetic moment: 3.199 μB/cell

```
&SYSTEM
  ibrav = 0, nat = 8, ntyp = 3
/
ATOMIC_SPECIES
V 50.94 V.upf
Cr 52.00 Cr.upf
Se 78.96 Se.upf
ATOMIC_POSITIONS crystal
V 0.500 0.500 0.500
Cr 0.000 0.000 0.000
Se 0.038 0.465 0.752
Se 0.688 0.089 0.821
Se 0.585 0.189 0.323
Se 0.312 0.911 0.179
Se 0.962 0.535 0.248
Se 0.415 0.811 0.677
CELL_PARAMETERS angstrom
-1.344 -1.786 5.722
3.510 -4.125 3.008
3.939 1.487 5.709
```

No. 3
The following is a DFT calculation (PBE-GGA) of a geometry-optimized VCr2Se structure. Values from VASP.

Values from the calculation:
- VASP energy: -60.1 eV/cell
- ΔE_f (raw): 447 meV per atom
- Total magnetic moment: 0.000 μB/cell

```
&SYSTEM
  ibrav = 0, nat = 8, ntyp = 3
/
ATOMIC_SPECIES
Cr 52.00 Cr.upf
Se 78.96 Se.upf
V 50.94 V.upf
ATOMIC_POSITIONS crystal
Cr 0.674 0.125 0.250
Cr 0.076 0.625 0.250
Cr 0.375 0.326 0.750
Cr 0.875 0.924 0.750
Se 0.000 0.000 0.000
Se 0.750 0.250 0.500
V 0.500 0.500 0.000
V 0.250 0.750 0.500
CELL_PARAMETERS angstrom
3.590 0.000 0.000
0.000 3.590 0.000
1.795 1.795 8.736
```

No. 4
The following is a DFT calculation (PBE-GGA) of a geometry-optimized VCr2Se4 structure. Values from VASP.

Values from the calculation:
- VASP energy: -46.2 eV/cell
- ΔE_f (raw): -563 meV per atom
- Total magnetic moment: 7.306 μB/cell

```
&SYSTEM
  ibrav = 0, nat = 7, ntyp = 3
/
ATOMIC_SPECIES
V 50.94 V.upf
Cr 52.00 Cr.upf
Se 78.96 Se.upf
ATOMIC_POSITIONS crystal
V 0.000 0.000 0.000
Cr 0.744 0.763 0.488
Cr 0.256 0.237 0.512
Se 0.878 0.205 0.756
Se 0.122 0.795 0.244
Se 0.631 0.296 0.262
Se 0.369 0.704 0.738
CELL_PARAMETERS angstrom
3.617 0.000 0.000
0.000 6.459 -0.053
-1.809 -3.214 5.768
```

No. 5
The following is a DFT calculation (PBE-GGA) of a geometry-optimized VCr2Se structure. Values from VASP.

Values from the calculation:
- VASP energy: -30.9 eV/cell
- ΔE_f (raw): 228 meV per atom
- Total magnetic moment: 0.019 μB/cell

```
&SYSTEM
  ibrav = 0, nat = 4, ntyp = 3
/
ATOMIC_SPECIES
Cr 52.00 Cr.upf
Se 78.96 Se.upf
V 50.94 V.upf
ATOMIC_POSITIONS crystal
Cr 0.250 0.250 0.250
Cr 0.750 0.750 0.750
Se 0.500 0.500 0.500
V 0.000 0.000 0.000
CELL_PARAMETERS angstrom
-2.810 -0.819 2.923
-3.761 -1.352 -1.067
-1.090 -3.913 0.783
```

No. 6
The following is a DFT calculation (PBE-GGA) of a geometry-optimized VCrSe structure. Values from VASP.

Values from the calculation:
- VASP energy: -44.4 eV/cell
- ΔE_f (raw): 15 meV per atom
- Total magnetic moment: 1.861 μB/cell

```
&SYSTEM
  ibrav = 0, nat = 6, ntyp = 3
/
ATOMIC_SPECIES
V 50.94 V.upf
Se 78.96 Se.upf
Cr 52.00 Cr.upf
ATOMIC_POSITIONS crystal
V 0.758 0.516 0.000
V 0.243 0.487 0.500
Se 0.583 0.165 0.336
Se 0.583 0.165 0.664
Cr 0.250 0.500 0.825
Cr 0.250 0.500 0.175
CELL_PARAMETERS angstrom
3.174 0.000 0.000
-1.587 2.611 0.000
0.000 0.000 10.542
```

No. 7
The following is a DFT calculation (PBE-GGA) of a geometry-optimized V3CrSe structure. Values from VASP.

Values from the calculation:
- VASP energy: -36.2 eV/cell
- ΔE_f (raw): 858 meV per atom
- Total magnetic moment: 0.000 μB/cell

```
&SYSTEM
  ibrav = 0, nat = 5, ntyp = 3
/
ATOMIC_SPECIES
Cr 52.00 Cr.upf
Se 78.96 Se.upf
V 50.94 V.upf
ATOMIC_POSITIONS crystal
Cr 0.000 0.000 0.000
Se 0.500 0.500 0.500
V 0.000 0.500 0.000
V 0.000 0.000 0.500
V 0.500 0.000 0.000
CELL_PARAMETERS angstrom
-2.472 1.807 -3.114
2.140 -2.300 -3.033
-2.895 -3.243 0.417
```

No. 8
The following is a DFT calculation (PBE-GGA) of a geometry-optimized CrWSe2 structure. Values from VASP.

Values from the calculation:
- VASP energy: -26.3 eV/cell
- ΔE_f (raw): 808 meV per atom
- Total magnetic moment: 2.182 μB/cell

```
&SYSTEM
  ibrav = 0, nat = 4, ntyp = 3
/
ATOMIC_SPECIES
Cr 52.00 Cr.upf
Se 78.96 Se.upf
W 183.84 W.upf
ATOMIC_POSITIONS crystal
Cr 0.500 0.500 0.500
Se 0.000 0.000 0.000
Se 0.250 0.250 0.250
W 0.750 0.750 0.750
CELL_PARAMETERS angstrom
4.554 0.000 0.000
2.277 3.943 0.000
2.277 1.314 3.718
```